1.
Density functional theory data (PBE) for a relaxed structure of GaAs2AuSe.

The volume is 118.2 Å³/f.u. The excess energy over the best structure of this formula in the dataset is 105.3 meV/atom. Its density of states at the Fermi level is 0.859 states/eV/atom. The total energy comes out at -3.04 eV/atom. For the raw formation energy, the calculation gives 773 meV/atom.

It has space group P4/mmm (No. 123), with a = 4.906 Å, b = 4.906 Å, c = 4.913 Å, α = 90.00°, β = 90.00° and γ = 90.00°. Symmetry generates all atoms from Ga at (0.000, 0.000, 0.000), As at (0.000, 0.500, 0.000), Au at (0.500, 0.500, 0.500) and Se at (0.000, 0.000, 0.500).

2.
Density functional theory data (PBE) for a relaxed structure of GaAs2AuSe.

The volume is 135.7 Å³/f.u. The excess energy over the best structure of this formula in the dataset is 0.0 meV/atom. Its density of states at the Fermi level is 0.837 states/eV/atom. The total energy comes out at -3.15 eV/atom. For the raw formation energy, the calculation gives 668 meV/atom.

It has space group P4/mmm (No. 123), with a = 5.043 Å, b = 5.043 Å, c = 5.337 Å, α = 90.00°, β = 90.00° and γ = 90.00°. Symmetry generates all atoms from Ga at (0.000, 0.000, 0.000), As at (0.000, 0.500, 0.500), Au at (0.500, 0.500, 0.500) and Se at (0.500, 0.500, 0.000).

3.
Density functional theory data (PBE) for a relaxed structure of TlGa2AsAu.

The volume is 150.6 Å³/f.u. Its density of states at the Fermi level is 0.389 states/eV/atom. The formation energy from the elements comes out at 0.417 eV per atom. The total energy comes out at -2.85 eV/atom.

It has space group P4/mmm (No. 123), with a = 4.871 Å, b = 4.871 Å, c = 6.349 Å, α = 90.00°, β = 90.00° and γ = 90.00°. Symmetry generates all atoms from Tl at (0.000, 0.000, 0.000), Ga at (0.000, 0.500, 0.500), As at (0.000, 0.000, 0.500) and Au at (0.500, 0.500, 0.000).